Crystalline TlCrNiF6 at its relaxed geometry. Source: Alexandria via LeMat-Bulk, functional PBE with a Hubbard U.

The final energy is -45.08 eV for the cell shown.

a b c (Å): 5.323 5.328 6.104
angles (deg): 90.07 90.19 119.71
Space group P1 (No. 1)
Unique sites:
Tl  0.000  0.000  0.000 x1
Cr  0.667  0.333  0.500 x1
Ni  0.333  0.667  0.500 x1
F  0.378  0.367  0.323 x1
F  0.381  0.013  0.677 x1
F  0.631  0.010  0.323 x1
F  0.633  0.621  0.677 x1
F  0.986  0.619  0.323 x1
F  0.990  0.368  0.677 x1